## one
3
Lattice="0.000 3.404 3.404 3.404 0.000 3.404 3.404 3.404 0.000" Properties=species:S:1:pos:R:3 comment="YScBr PBE optimized geometry" rho_g_cm3=4.5 m_tot_mub_per_cell=0.79 crystal_system=cubic spacegroup=F-43m pbc="T T T"
Y 0.000 0.000 0.000
Sc 3.404 3.404 3.404
Br 5.106 5.106 5.106

## two
3
Lattice="0.000 2.911 7.134 1.917 0.000 7.134 1.917 2.911 0.000" Properties=species:S:1:pos:R:3 comment="YScBr PBE optimized geometry" rho_g_cm3=4.5 m_tot_mub_per_cell=0.42 crystal_system=orthorhombic spacegroup=Fmm2 pbc="T T T"
Y 0.000 0.000 0.000
Sc 1.917 2.911 4.642
Br 1.917 2.911 9.566

Most stable structure - two; separation to the second - 479 meV/atom.

## one
3
Lattice="-1.725 1.725 6.633 1.725 -1.725 6.633 1.725 1.725 -6.633" Properties=species:S:1:pos:R:3 comment="YScBr PBE optimized geometry" rho_g_cm3=4.5 m_tot_mub_per_cell=0.00 crystal_system=tetragonal spacegroup=I4mm pbc="T T T"
Y 0.000 0.000 0.000
Sc 0.000 0.000 8.878
Br 0.000 0.000 4.341

## two
3
Lattice="3.622 0.000 0.000 -1.811 3.137 0.000 0.000 0.000 6.953" Properties=species:S:1:pos:R:3 comment="YScBr PBE optimized geometry" rho_g_cm3=4.5 m_tot_mub_per_cell=0.01 crystal_system=trigonal spacegroup=P3m1 pbc="T T T"
Y 0.000 0.000 0.000
Sc 1.811 1.046 4.453
Br 0.000 2.091 2.325

Most stable structure - two; separation to the second - 169 meV/atom.

## one
5
Lattice="-2.273 2.273 7.403 2.273 -2.273 7.403 2.273 2.273 -7.403" Properties=species:S:1:pos:R:3 comment="Y2ScBr2 PBE optimized geometry" rho_g_cm3=4.2 m_tot_mub_per_cell=0.00 crystal_system=tetragonal spacegroup=I4/mmm pbc="T T T"
Y 0.000 0.000 1.738
Y 0.000 0.000 13.068
Sc 0.000 0.000 7.403
Br 2.273 0.000 3.702
Br 0.000 2.273 3.702

## two
10
Lattice="8.948 0.000 0.000 0.000 8.948 0.000 0.000 0.000 3.394" Properties=species:S:1:pos:R:3 comment="Y2ScBr2 PBE optimized geometry" rho_g_cm3=4.7 m_tot_mub_per_cell=4.06 crystal_system=tetragonal spacegroup=P4/mbm pbc="T T T"
Y 1.496 2.977 0.000
Y 2.977 7.451 0.000
Y 5.970 1.496 0.000
Y 7.451 5.970 0.000
Sc 0.000 0.000 0.000
Sc 4.474 4.474 0.000
Br 1.147 5.621 1.697
Br 3.326 1.147 1.697
Br 5.621 7.800 1.697
Br 7.800 3.326 1.697

Most stable structure - one; separation to the second - 205 meV/atom.